Record 1
This record from the Alexandria database describes a geometry-optimized Pm6Ho2Th structure. The functional is PBE.

Lattice parameters (Å, degrees): 3.6147 3.6147 26.9248 90.00 90.00 120.00
Space group P-6m2 (No. 187)
Symmetry-distinct sites (fractional):
Pm 0.0000 0.0000 0.0663 (multiplicity 2)
Pm 0.0000 0.0000 0.2787 (multiplicity 2)
Pm 0.3333 0.6667 0.3908 (multiplicity 2)
Ho 0.3333 0.6667 0.1707 (multiplicity 2)
Th 0.0000 0.0000 0.5000 (multiplicity 1)

Record 2
This record from the Alexandria database describes a geometry-optimized PmHo12Th5 structure. The functional is PBE.

Lattice parameters (Å, degrees): 18.476 10.603 6.155 90.00 109.45 90.00
Space group C2/m (No. 12)
Symmetry-distinct sites (fractional):
Pm 0.000 0.000 0.000 (multiplicity 2)
Ho 0.000 0.167 0.500 (multiplicity 4)
Ho 0.000 0.337 0.000 (multiplicity 4)
Ho 0.167 0.335 0.501 (multiplicity 8)
Ho 0.168 0.166 0.999 (multiplicity 8)
Th 0.000 0.500 0.500 (multiplicity 2)
Th 0.167 0.500 0.001 (multiplicity 4)
Th 0.168 0.000 0.507 (multiplicity 4)

Record 3
This record from the Alexandria database describes a geometry-optimized PmHo2Th6 structure. The functional is PBE.

Lattice parameters (Å, degrees): 11.709 7.060 9.221 90.00 126.42 90.00
Space group C2/m (No. 12)
Symmetry-distinct sites (fractional):
Pm 0.000 0.000 0.000 (multiplicity 2)
Ho 0.205 0.500 0.122 (multiplicity 4)
Th 0.074 0.239 0.351 (multiplicity 8)
Th 0.173 0.500 0.704 (multiplicity 4)

Record 4
This record from the Alexandria database describes a geometry-optimized Pm10Ho4Th structure. The functional is PBE.

Lattice parameters (Å, degrees): 9.972 9.972 10.918 90.00 90.00 90.00
Space group I4/m (No. 87)
Symmetry-distinct sites (fractional):
Pm 0.000 0.500 0.250 (multiplicity 4)
Pm 0.120 0.777 0.173 (multiplicity 16)
Ho 0.059 0.721 0.500 (multiplicity 8)
Th 0.000 0.000 0.000 (multiplicity 2)

no.,V (A^3/atom),ΔH_f (0 K) (meV per atom),VASP energy (eV per atom)
1,33.9,59,-4.949
2,31.6,42,-5.334
3,34.1,300,-6.192
4,36.2,468,-4.414